# 1
# SrTlSnHg | Alexandria via LeMat-Bulk | PBE | relaxed
# V in Å³/f.u.: 117.8
# E_form in meV per atom: -321
# M_tot in μB per cell: 0.0
data_SrTlSnHg
_symmetry_space_group_name_H-M 'F -4 3 m'
_symmetry_Int_Tables_number 216
_symmetry_space_group_name_Hall 'F -4 2 3'
_cell_length_a 7.781
_cell_length_b 7.781
_cell_length_c 7.781
_cell_angle_alpha 90.00
_cell_angle_beta 90.00
_cell_angle_gamma 90.00
loop_
_atom_site_label
_atom_site_type_symbol
_atom_site_fract_x
_atom_site_fract_y
_atom_site_fract_z
Sr1 Sr 0.000 0.000 0.000
Tl1 Tl 0.250 0.250 0.250
Sn1 Sn 0.000 0.000 0.500
Hg1 Hg 0.250 0.250 0.750


# 2
# YZr2AlN | Alexandria via LeMat-Bulk | PBE | relaxed
# V in Å³/f.u.: 95.6
# Uncorrected formation energy in eV/atom: -0.8536
# M_tot in μB per cell: 0.0
data_YZr2AlN
_symmetry_space_group_name_H-M 'P 4/m m m'
_symmetry_Int_Tables_number 123
_symmetry_space_group_name_Hall '-P 4 2'
_cell_length_a 4.489
_cell_length_b 4.489
_cell_length_c 4.745
_cell_angle_alpha 90.00
_cell_angle_beta 90.00
_cell_angle_gamma 90.00
loop_
_atom_site_label
_atom_site_type_symbol
_atom_site_fract_x
_atom_site_fract_y
_atom_site_fract_z
Y1 Y 0.000 0.000 0.000
Zr1 Zr 0.000 0.500 0.500
Al1 Al 0.500 0.500 0.000
N1 N 0.000 0.000 0.500


# 3
# Ag3BiF6 | Alexandria via LeMat-Bulk | PBE | relaxed
# V in Å³/f.u.: 171.9
# Uncorrected formation energy in eV/atom: -1.5592
# M_tot in μB per cell: 0.0
data_Ag3BiF6
_symmetry_space_group_name_H-M 'P 1 21/c 1'
_symmetry_Int_Tables_number 14
_symmetry_space_group_name_Hall '-P 2ybc'
_cell_length_a 6.134
_cell_length_b 6.274
_cell_length_c 10.574
_cell_angle_alpha 90.00
_cell_angle_beta 122.36
_cell_angle_gamma 90.00
loop_
_atom_site_label
_atom_site_type_symbol
_atom_site_fract_x
_atom_site_fract_y
_atom_site_fract_z
Ag1 Ag 0.000 0.000 0.000
Ag2 Ag 0.211 0.064 0.736
Bi1 Bi 0.500 0.000 0.500
F1 F 0.136 0.179 0.443
F2 F 0.234 0.711 0.404
F3 F 0.413 0.092 0.268


# 4
# AcTm2Ta | Alexandria via LeMat-Bulk | PBE | relaxed
# V in Å³/f.u.: 117.8
# E_form in meV per atom: 762
# M_tot in μB per cell: 0.1
data_AcTm2Ta
_symmetry_space_group_name_H-M 'R -3 m'
_symmetry_Int_Tables_number 166
_symmetry_space_group_name_Hall '-R 3 2"'
_cell_length_a 3.3764
_cell_length_b 3.3764
_cell_length_c 35.8057
_cell_angle_alpha 90.00
_cell_angle_beta 90.00
_cell_angle_gamma 120.00
loop_
_atom_site_label
_atom_site_type_symbol
_atom_site_fract_x
_atom_site_fract_y
_atom_site_fract_z
Ac1 Ac 0.0000 0.0000 0.0000
Tm1 Tm 0.0000 0.0000 0.4196
Ta1 Ta 0.0000 0.0000 0.5000


# 5
# Nd5InIr2 | Alexandria via LeMat-Bulk | PBE | relaxed
# V in Å³/f.u.: 226.8
# E_form in meV per atom: -548
# M_tot in μB per cell: 0.0
data_Nd5InIr2
_symmetry_space_group_name_H-M 'I 4/m c m'
_symmetry_Int_Tables_number 140
_symmetry_space_group_name_Hall '-I 4 2c'
_cell_length_a 8.024
_cell_length_b 8.024
_cell_length_c 14.092
_cell_angle_alpha 90.00
_cell_angle_beta 90.00
_cell_angle_gamma 90.00
loop_
_atom_site_label
_atom_site_type_symbol
_atom_site_fract_x
_atom_site_fract_y
_atom_site_fract_z
Nd1 Nd 0.000 0.000 0.000
Nd2 Nd 0.163 0.337 0.132
In1 In 0.000 0.000 0.250
Ir1 Ir 0.137 0.363 0.500


# 6
# DyInHgPb | Alexandria via LeMat-Bulk | PBE | relaxed
# V in Å³/f.u.: 110.2
# E_form in meV per atom: -181
# M_tot in μB per cell: 0.0
data_DyInHgPb
_symmetry_space_group_name_H-M 'F -4 3 m'
_symmetry_Int_Tables_number 216
_symmetry_space_group_name_Hall 'F -4 2 3'
_cell_length_a 7.611
_cell_length_b 7.611
_cell_length_c 7.611
_cell_angle_alpha 90.00
_cell_angle_beta 90.00
_cell_angle_gamma 90.00
loop_
_atom_site_label
_atom_site_type_symbol
_atom_site_fract_x
_atom_site_fract_y
_atom_site_fract_z
Dy1 Dy 0.000 0.000 0.000
In1 In 0.250 0.250 0.750
Hg1 Hg 0.250 0.250 0.250
Pb1 Pb 0.000 0.000 0.500


# 7
# BaTl2Re | Alexandria via LeMat-Bulk | PBE | relaxed
# V in Å³/f.u.: 123.4
# E_form in meV per atom: 634
# M_tot in μB per cell: 2.6
data_BaTl2Re
_symmetry_space_group_name_H-M 'C 1 m 1'
_symmetry_Int_Tables_number 8
_symmetry_space_group_name_Hall 'C -2y'
_cell_length_a 8.436
_cell_length_b 4.722
_cell_length_c 6.820
_cell_angle_alpha 90.00
_cell_angle_beta 114.67
_cell_angle_gamma 90.00
loop_
_atom_site_label
_atom_site_type_symbol
_atom_site_fract_x
_atom_site_fract_y
_atom_site_fract_z
Ba1 Ba 0.000 0.000 0.000
Tl1 Tl 0.056 0.500 0.647
Tl2 Tl 0.300 0.500 0.376
Re1 Re 0.197 0.000 0.559


# 8
# Tb2SmAl6 | Alexandria via LeMat-Bulk | PBE | relaxed
# V in Å³/f.u.: 193.1
# E_form in meV per atom: -491
# M_tot in μB per cell: 0.0
data_Tb2SmAl6
_symmetry_space_group_name_H-M 'P 6/m m m'
_symmetry_Int_Tables_number 191
_symmetry_space_group_name_Hall '-P 6 2'
_cell_length_a 7.9318
_cell_length_b 7.9318
_cell_length_c 3.5436
_cell_angle_alpha 90.00
_cell_angle_beta 90.00
_cell_angle_gamma 120.00
loop_
_atom_site_label
_atom_site_type_symbol
_atom_site_fract_x
_atom_site_fract_y
_atom_site_fract_z
Tb1 Tb 0.3333 0.6667 0.0000
Sm1 Sm 0.0000 0.0000 0.0000
Al1 Al 0.0000 0.3344 0.5000